## FeB3F (PBE with a Hubbard U)

Data for a geometry-optimized FeB3F structure.

```
5
Lattice="3.726 0.000 0.000 0.000 3.726 0.000 0.000 0.000 3.726" Properties=species:S:1:pos:R:3 pbc="T T T"
F 0.000 0.000 0.000
B 0.000 1.863 0.000
B 0.000 0.000 1.863
B 1.863 0.000 0.000
Fe 1.863 1.863 1.863
```

The calculation puts the density of states at the Fermi level at 0.411 states/eV/atom. For the total energy, the calculation gives -18.129 eV/cell. As for the space group: Pm-3m, No. 221. As for the density: 3.4 g/cm3.